(1)
Density functional theory data (PBE) for a relaxed structure of NaHo2Tm.

Results
E_form (kcal/mol of atoms): 3.11
Density of states at the Fermi level (states/eV per atom): 1.0144
Calculated density (g/cm3): 6.757

abc: 3.4995 3.4995 10.4707
angles: 90.00 90.00 90.00
Positions (direct):
Na  0.0000  0.0000  0.0000
Ho  0.5000  0.5000  0.2720
Ho  0.5000  0.5000  0.7280
Tm  0.0000  0.0000  0.5000

---

(2)
Density functional theory data (PBE) for a relaxed structure of LiCaZr2.

Results
E_form (kcal/mol of atoms): 6.82
Density of states at the Fermi level (states/eV per atom): 1.0382
Calculated density (g/cm3): 3.842

abc: 3.2444 5.1505 5.9355
angles: 90.00 90.00 90.00
Positions (direct):
Li  0.0000  0.0000  0.0000
Ca  0.5000  0.5000  0.0000
Zr  0.0000  0.5000  0.5000
Zr  0.5000  0.0000  0.5000

---

(3)
Density functional theory data (PBE) for a relaxed structure of AcLa3Er2Te6.

Results
Raw formation energy (meV per atom): -1443
Density of states at the Fermi level (states/eV per atom): 0.6188
Calculated density (g/cm3): 7.382

abc: 7.8275 7.8275 7.8588
angles: 99.59 99.59 120.20
Positions (direct):
Ac  0.0000  0.0000  0.0000
La  0.1553  0.8447  0.5000
La  0.5000  0.5000  0.5000
La  0.8447  0.1553  0.5000
Er  0.3315  0.6685  0.0000
Er  0.6685  0.3315  0.0000
Te  0.0812  0.4336  0.2433
Te  0.2765  0.2765  0.7691
Te  0.4336  0.0812  0.2433
Te  0.5664  0.9188  0.7567
Te  0.7235  0.7235  0.2309
Te  0.9188  0.5664  0.7567